The following is a PBE calculation of a geometry-optimized PrMgPd structure, from Alexandria via LeMat-Bulk.

a = 4.652 Å, b = 4.652 Å, c = 3.877 Å
α = 90.00°, β = 90.00°, γ = 120.00°
Fractional coordinates of all 3 atoms:
Pr: 0.000 0.000 0.000
Mg: 0.667 0.333 0.500
Pd: 0.333 0.667 0.500

The total energy comes out at -12.975 eV for the cell shown. For the density of states at the Fermi level, the calculation gives 3.30 states/eV per cell. The value obtained for the formation energy from the elements is -0.470 eV/atom. The value obtained for the density is 6.206 g cm⁻³.



The following is a PBE calculation of a geometry-optimized PrMgPd structure, from Alexandria via LeMat-Bulk.

a = 7.363 Å, b = 4.376 Å, c = 8.763 Å
α = 90.00°, β = 90.00°, γ = 90.00°
Fractional coordinates of all 12 atoms:
Pr: 0.042 0.250 0.182
Pr: 0.458 0.750 0.682
Pr: 0.542 0.250 0.318
Pr: 0.958 0.750 0.818
Mg: 0.134 0.250 0.560
Mg: 0.366 0.750 0.060
Mg: 0.634 0.250 0.940
Mg: 0.866 0.750 0.440
Pd: 0.246 0.750 0.381
Pd: 0.254 0.250 0.881
Pd: 0.746 0.750 0.119
Pd: 0.754 0.250 0.619

The total energy comes out at -53.835 eV for the cell shown. For the density of states at the Fermi level, the calculation gives 9.02 states/eV per cell. The value obtained for the formation energy from the elements is -0.631 eV/atom. The value obtained for the density is 6.391 g cm⁻³.